# 1
Here is Pm3NdEr3Se8 after structural relaxation from Alexandria. Energies are from PBE-GGA.

a = 8.2382 Å, b = 8.2382 Å, c = 8.2382 Å
α = 59.73°, β = 59.73°, γ = 59.73°
Positions (direct):
Pm 0.0000 0.5000 0.5000
Pm 0.5000 0.0000 0.5000
Pm 0.5000 0.5000 0.0000
Nd 0.5000 0.5000 0.5000
Er 0.0000 0.0000 0.5000
Er 0.0000 0.5000 0.0000
Er 0.5000 0.0000 0.0000
Se 0.2327 0.7579 0.7579
Se 0.2421 0.2421 0.7673
Se 0.2421 0.7673 0.2421
Se 0.2455 0.2455 0.2455
Se 0.7545 0.7545 0.7545
Se 0.7579 0.2327 0.7579
Se 0.7579 0.7579 0.2327
Se 0.7673 0.2421 0.2421

* E_tot: -5.88 eV per atom
* energy relative to the elements, uncorrected: -1.837 eV/atom
* space group: No. 166

---

# 2
Here is PmNdEr2Se4 after structural relaxation from Alexandria. Energies are from PBE-GGA.

a = 7.0587 Å, b = 4.0507 Å, c = 7.3308 Å
α = 90.00°, β = 108.55°, γ = 90.00°
Positions (direct):
Pm 0.0000 0.0000 0.0000
Nd 0.5000 0.5000 0.0000
Er 0.0000 0.5000 0.5000
Er 0.5000 0.0000 0.5000
Se 0.2428 0.0000 0.7325
Se 0.2547 0.5000 0.2667
Se 0.7453 0.5000 0.7333
Se 0.7572 0.0000 0.2675

* E_tot: -5.85 eV per atom
* energy relative to the elements, uncorrected: -1.772 eV/atom
* space group: No. 10

---

# 3
Here is Pm6Nd2SmEr after structural relaxation from Alexandria. Energies are from PBE-GGA.

a = 8.9538 Å, b = 8.9538 Å, c = 9.8295 Å
α = 94.27°, β = 94.27°, γ = 118.04°
Positions (direct):
Pm 0.0155 0.5720 0.1888
Pm 0.1222 0.7500 0.5554
Pm 0.2500 0.8778 0.9446
Pm 0.2931 0.5043 0.3809
Pm 0.4280 0.9845 0.3112
Pm 0.4957 0.7069 0.1191
Pm 0.5043 0.2931 0.8809
Pm 0.5720 0.0155 0.6888
Pm 0.7069 0.4957 0.6191
Pm 0.7500 0.1222 0.0554
Pm 0.8778 0.2500 0.4446
Pm 0.9845 0.4280 0.8112
Nd 0.1970 0.2981 0.0428
Nd 0.2981 0.1970 0.5428
Nd 0.7019 0.8030 0.4572
Nd 0.8030 0.7019 0.9572
Sm 0.0197 0.9803 0.2500
Sm 0.9803 0.0197 0.7500
Er 0.4085 0.5915 0.7500
Er 0.5915 0.4085 0.2500

* E_tot: -4.62 eV per atom
* formation enthalpy at 0 K: 1.135 eV per formula unit
* space group: No. 15

---

# 4
Here is PmNdSm5Er2 after structural relaxation from Alexandria. Energies are from PBE-GGA.

a = 10.5101 Å, b = 10.5101 Å, c = 10.6560 Å
α = 90.00°, β = 90.00°, γ = 148.66°
Positions (direct):
Pm 0.2009 0.7991 0.5000
Pm 0.7991 0.2009 0.0000
Nd 0.4146 0.5854 0.9390
Nd 0.5854 0.4146 0.4390
Sm 0.0170 0.9830 0.5133
Sm 0.2811 0.7189 0.7993
Sm 0.2974 0.7026 0.1953
Sm 0.3909 0.6091 0.5145
Sm 0.4775 0.5225 0.2281
Sm 0.5225 0.4775 0.7281
Sm 0.6091 0.3909 0.0145
Sm 0.7026 0.2974 0.6953
Sm 0.7189 0.2811 0.2993
Sm 0.9830 0.0170 0.0133
Er 0.1115 0.8885 0.2236
Er 0.1161 0.8839 0.8109
Er 0.8839 0.1161 0.3109
Er 0.8885 0.1115 0.7236

* E_tot: -4.54 eV per atom
* formation enthalpy at 0 K: 1.365 eV per formula unit
* space group: No. 36

---

# 5
Here is Pm2NdSmEr after structural relaxation from Alexandria. Energies are from PBE-GGA.

a = 7.2280 Å, b = 7.2280 Å, c = 7.2316 Å
α = 90.00°, β = 90.00°, γ = 108.39°
Positions (direct):
Pm 0.1885 0.1885 0.0000
Pm 0.1885 0.1885 0.5000
Pm 0.8115 0.8115 0.0000
Pm 0.8115 0.8115 0.5000
Nd 0.2284 0.7716 0.7500
Nd 0.7716 0.2284 0.2500
Sm 0.4919 0.5081 0.7500
Sm 0.5081 0.4919 0.2500
Er 0.2293 0.7707 0.2500
Er 0.7707 0.2293 0.7500

* E_tot: -4.32 eV per atom
* formation enthalpy at 0 K: 1.969 eV per formula unit
* space group: No. 63

---

# 6
Here is Pm2Nd2SmEr after structural relaxation from Alexandria. Energies are from PBE-GGA.

a = 7.0957 Å, b = 5.7335 Å, c = 9.9274 Å
α = 90.00°, β = 90.00°, γ = 90.00°
Positions (direct):
Pm 0.2500 0.0000 0.1640
Pm 0.2500 0.5000 0.6693
Pm 0.7500 0.0000 0.8360
Pm 0.7500 0.5000 0.3307
Nd 0.0000 0.5000 0.0000
Nd 0.2500 0.0000 0.8242
Nd 0.5000 0.5000 0.0000
Nd 0.7500 0.0000 0.1758
Sm 0.2500 0.5000 0.3418
Sm 0.7500 0.5000 0.6582
Er 0.0000 0.0000 0.5000
Er 0.5000 0.0000 0.5000

* E_tot: -4.66 eV per atom
* formation enthalpy at 0 K: 0.339 eV per formula unit
* space group: No. 51

---

# 7
Here is Pm2NdSmEr2 after structural relaxation from Alexandria. Energies are from PBE-GGA.

a = 6.5757 Å, b = 18.1906 Å, c = 3.4148 Å
α = 90.00°, β = 90.00°, γ = 90.00°
Positions (direct):
Pm 0.2195 0.1886 0.0000
Pm 0.2805 0.6886 0.5000
Pm 0.7195 0.3114 0.5000
Pm 0.7805 0.8114 0.0000
Nd 0.0000 0.0000 0.0000
Nd 0.5000 0.5000 0.5000
Sm 0.0000 0.5000 0.0000
Sm 0.5000 0.0000 0.5000
Er 0.2179 0.3532 0.5000
Er 0.2821 0.8532 0.0000
Er 0.7179 0.1468 0.0000
Er 0.7821 0.6468 0.5000

* E_tot: -4.42 eV per atom
* formation enthalpy at 0 K: 1.588 eV per formula unit
* space group: No. 58

---

# 8
Here is PmNdSm4Er2 after structural relaxation from Alexandria. Energies are from PBE-GGA.

a = 5.0982 Å, b = 5.1120 Å, c = 10.1747 Å
α = 90.00°, β = 90.08°, γ = 90.00°
Positions (direct):
Pm 0.0000 0.0000 0.0000
Nd 0.5000 0.5000 0.5000
Sm 0.9996 0.5000 0.2489
Sm 0.0004 0.5000 0.7511
Sm 0.4998 0.0000 0.2499
Sm 0.5002 0.0000 0.7501
Er 0.0000 0.0000 0.5000
Er 0.5000 0.5000 0.0000

* E_tot: -4.67 eV per atom
* formation enthalpy at 0 K: 0.129 eV per formula unit
* space group: No. 10

---

# 9
Here is Pm5NdSmEr2 after structural relaxation from Alexandria. Energies are from PBE-GGA.

a = 10.5599 Å, b = 10.5599 Å, c = 10.6553 Å
α = 90.00°, β = 90.00°, γ = 148.74°
Positions (direct):
Pm 0.0168 0.9832 0.5000
Pm 0.2809 0.7191 0.7876
Pm 0.2970 0.7030 0.1828
Pm 0.3902 0.6098 0.5022
Pm 0.4777 0.5223 0.2167
Pm 0.5223 0.4777 0.7167
Pm 0.6098 0.3902 0.0022
Pm 0.7030 0.2970 0.6828
Pm 0.7191 0.2809 0.2876
Pm 0.9832 0.0168 0.0000
Nd 0.4138 0.5862 0.9271
Nd 0.5862 0.4138 0.4271
Sm 0.2002 0.7998 0.4876
Sm 0.7998 0.2002 0.9876
Er 0.1120 0.8880 0.2112
Er 0.1166 0.8834 0.7981
Er 0.8834 0.1166 0.2981
Er 0.8880 0.1120 0.7112

* E_tot: -4.56 eV per atom
* formation enthalpy at 0 K: 1.346 eV per formula unit
* space group: No. 36

---

# 10
Here is PmNd2SmEr4 after structural relaxation from Alexandria. Energies are from PBE-GGA.

a = 9.5297 Å, b = 9.5297 Å, c = 6.8182 Å
α = 110.96°, β = 110.96°, γ = 88.31°
Positions (direct):
Pm 0.0000 0.0000 0.0000
Pm 0.0000 0.0000 0.5000
Nd 0.0000 0.5000 0.0000
Nd 0.5000 0.0000 0.5000
Nd 0.5000 0.5000 0.0000
Nd 0.5000 0.5000 0.5000
Sm 0.0000 0.5000 0.5000
Sm 0.5000 0.0000 0.0000
Er 0.2490 0.2497 0.4984
Er 0.2495 0.7508 0.5006
Er 0.2492 0.7505 0.9994
Er 0.2497 0.2490 0.9984
Er 0.7503 0.7510 0.0016
Er 0.7508 0.2495 0.0006
Er 0.7505 0.2492 0.4994
Er 0.7510 0.7503 0.5016

* E_tot: -4.24 eV per atom
* formation enthalpy at 0 K: 3.312 eV per formula unit
* space group: No. 15

---

# 11
Here is PmNd5Sm2Er after structural relaxation from Alexandria. Energies are from PBE-GGA.

a = 10.1439 Å, b = 10.1439 Å, c = 10.1439 Å
α = 128.18°, β = 128.18°, γ = 76.33°
Positions (direct):
Pm 0.2500 0.2500 0.0000
Pm 0.7500 0.7500 0.0000
Nd 0.0000 0.0000 0.0000
Nd 0.0707 0.5707 0.9199
Nd 0.1508 0.0707 0.5000
Nd 0.3492 0.8492 0.9199
Nd 0.4293 0.3492 0.5000
Nd 0.5000 0.5000 0.0000
Nd 0.5707 0.6508 0.5000
Nd 0.6508 0.1508 0.0801
Nd 0.8492 0.9293 0.5000
Nd 0.9293 0.4293 0.0801
Sm 0.1171 0.3829 0.5000
Sm 0.3829 0.8829 0.2659
Sm 0.6171 0.1171 0.7341
Sm 0.8829 0.6171 0.5000
Er 0.2500 0.7500 0.5000
Er 0.7500 0.2500 0.5000

* E_tot: -4.45 eV per atom
* formation enthalpy at 0 K: 2.554 eV per formula unit
* space group: No. 140

---

# 12
Here is Pm2NdSm6Er after structural relaxation from Alexandria. Energies are from PBE-GGA.

a = 8.9212 Å, b = 8.9212 Å, c = 9.7876 Å
α = 94.16°, β = 94.16°, γ = 117.94°
Positions (direct):
Pm 0.1984 0.2995 0.0436
Pm 0.2995 0.1984 0.5436
Pm 0.7005 0.8016 0.4564
Pm 0.8016 0.7005 0.9564
Nd 0.0207 0.9793 0.2500
Nd 0.9793 0.0207 0.7500
Sm 0.0156 0.5701 0.1871
Sm 0.1221 0.7485 0.5558
Sm 0.2515 0.8779 0.9442
Sm 0.2933 0.5059 0.3804
Sm 0.4299 0.9844 0.3129
Sm 0.4941 0.7067 0.1196
Sm 0.5059 0.2933 0.8804
Sm 0.5701 0.0156 0.6871
Sm 0.7067 0.4941 0.6196
Sm 0.7485 0.1221 0.0558
Sm 0.8779 0.2515 0.4442
Sm 0.9844 0.4299 0.8129
Er 0.4086 0.5914 0.7500
Er 0.5914 0.4086 0.2500

* E_tot: -4.60 eV per atom
* formation enthalpy at 0 K: 1.145 eV per formula unit
* space group: No. 15

---

# 13
Here is PmNd3Sm6Er2 after structural relaxation from Alexandria. Energies are from PBE-GGA.

a = 6.2775 Å, b = 6.2775 Å, c = 12.0176 Å
α = 95.00°, β = 95.00°, γ = 119.99°
Positions (direct):
Pm 0.0000 0.0000 0.0000
Nd 0.1669 0.8331 0.5000
Nd 0.5000 0.5000 0.5000
Nd 0.8331 0.1669 0.5000
Sm 0.0825 0.4167 0.2466
Sm 0.2517 0.2517 0.7535
Sm 0.4167 0.0825 0.2466
Sm 0.5833 0.9175 0.7534
Sm 0.7483 0.7483 0.2465
Sm 0.9175 0.5833 0.7534
Er 0.3333 0.6667 0.0000
Er 0.6667 0.3333 0.0000

* E_tot: -4.69 eV per atom
* formation enthalpy at 0 K: 0.193 eV per formula unit
* space group: No. 12

---

# 14
Here is Pm2NdSm2Er2 after structural relaxation from Alexandria. Energies are from PBE-GGA.

a = 6.2374 Å, b = 6.2374 Å, c = 8.0809 Å
α = 97.38°, β = 97.38°, γ = 48.25°
Positions (direct):
Pm 0.1432 0.1432 0.4294
Pm 0.8568 0.8568 0.5706
Nd 0.0000 0.0000 0.0000
Sm 0.4285 0.4285 0.2833
Sm 0.5715 0.5715 0.7167
Er 0.2851 0.2851 0.8585
Er 0.7149 0.7149 0.1415

* E_tot: -4.67 eV per atom
* formation enthalpy at 0 K: 0.113 eV per formula unit
* space group: No. 12

---

# 15
Here is PmNd2Sm6Er3 after structural relaxation from Alexandria. Energies are from PBE-GGA.

a = 6.2551 Å, b = 6.2551 Å, c = 11.9383 Å
α = 95.00°, β = 95.00°, γ = 120.00°
Positions (direct):
Pm 0.0000 0.0000 0.0000
Nd 0.3334 0.6666 0.0000
Nd 0.6666 0.3334 0.0000
Sm 0.0849 0.4180 0.2546
Sm 0.2483 0.2483 0.7453
Sm 0.4180 0.0849 0.2546
Sm 0.5820 0.9151 0.7454
Sm 0.7517 0.7517 0.2547
Sm 0.9151 0.5820 0.7454
Er 0.1666 0.8334 0.5000
Er 0.5000 0.5000 0.5000
Er 0.8334 0.1666 0.5000

* E_tot: -4.67 eV per atom
* formation enthalpy at 0 K: 0.209 eV per formula unit
* space group: No. 12

---

# 16
Here is Pm2Nd2SmEr2 after structural relaxation from Alexandria. Energies are from PBE-GGA.

a = 6.2526 Å, b = 6.2526 Å, c = 8.0969 Å
α = 97.41°, β = 97.41°, γ = 48.25°
Positions (direct):
Pm 0.1435 0.1435 0.4288
Pm 0.8565 0.8565 0.5712
Nd 0.4285 0.4285 0.2820
Nd 0.5715 0.5715 0.7180
Sm 0.0000 0.0000 0.0000
Er 0.2852 0.2852 0.8590
Er 0.7148 0.7148 0.1410

* E_tot: -4.68 eV per atom
* formation enthalpy at 0 K: 0.116 eV per formula unit
* space group: No. 12

---

# 17
Here is Pm6Nd3SmEr2 after structural relaxation from Alexandria. Energies are from PBE-GGA.

a = 6.2969 Å, b = 6.2969 Å, c = 12.0323 Å
α = 95.01°, β = 95.01°, γ = 120.00°
Positions (direct):
Pm 0.0833 0.4174 0.7538
Pm 0.2485 0.2485 0.2462
Pm 0.4174 0.0833 0.7538
Pm 0.5826 0.9167 0.2462
Pm 0.7515 0.7515 0.7538
Pm 0.9167 0.5826 0.2462
Nd 0.0000 0.0000 0.5000
Nd 0.3331 0.6669 0.5000
Nd 0.6669 0.3331 0.5000
Sm 0.5000 0.5000 0.0000
Er 0.1667 0.8333 0.0000
Er 0.8333 0.1667 0.0000

* E_tot: -4.71 eV per atom
* formation enthalpy at 0 K: 0.188 eV per formula unit
* space group: No. 12

---

# 18
Here is Pm5Nd2SmEr after structural relaxation from Alexandria. Energies are from PBE-GGA.

a = 10.1810 Å, b = 10.1810 Å, c = 10.1810 Å
α = 129.00°, β = 129.00°, γ = 75.01°
Positions (direct):
Pm 0.0000 0.0000 0.0000
Pm 0.0720 0.5720 0.9253
Pm 0.1467 0.0720 0.5000
Pm 0.3533 0.8533 0.9253
Pm 0.4280 0.3533 0.5000
Pm 0.5000 0.5000 0.0000
Pm 0.5720 0.6467 0.5000
Pm 0.6467 0.1467 0.0747
Pm 0.8533 0.9280 0.5000
Pm 0.9280 0.4280 0.0747
Nd 0.1189 0.3811 0.5000
Nd 0.3811 0.8811 0.2622
Nd 0.6189 0.1189 0.7378
Nd 0.8811 0.6189 0.5000
Sm 0.2500 0.2500 0.0000
Sm 0.7500 0.7500 0.0000
Er 0.2500 0.7500 0.5000
Er 0.7500 0.2500 0.5000

* E_tot: -4.46 eV per atom
* formation enthalpy at 0 K: 2.462 eV per formula unit
* space group: No. 140

---

# 19
Here is Pm3NdSmEr after structural relaxation from Alexandria. Energies are from PBE-GGA.

a = 8.0995 Å, b = 5.1400 Å, c = 10.2588 Å
α = 90.00°, β = 108.55°, γ = 90.00°
Positions (direct):
Pm 0.1681 0.2500 0.0428
Pm 0.1686 0.7500 0.7911
Pm 0.1699 0.2500 0.5416
Pm 0.8301 0.7500 0.4584
Pm 0.8314 0.2500 0.2089
Pm 0.8319 0.7500 0.9572
Nd 0.1692 0.7500 0.2930
Nd 0.8308 0.2500 0.7070
Sm 0.5000 0.2500 0.8738
Sm 0.5000 0.7500 0.1262
Er 0.4998 0.2500 0.3763
Er 0.5002 0.7500 0.6237

* E_tot: -4.70 eV per atom
* formation enthalpy at 0 K: 0.107 eV per formula unit
* space group: No. 11